BaIn2Re | PBE | optimized geometry

DOS(E_F) = 6.50 states/eV/cell
E above lowest polymorph = 227 meV/atom

```
data_BaIn2Re
_cell_length_a 3.2943
_cell_length_b 3.2943
_cell_length_c 31.3641
_cell_angle_alpha 90.00
_cell_angle_beta 90.00
_cell_angle_gamma 120.00
_symmetry_space_group_name_H-M 'R -3 m'
_symmetry_Int_Tables_number 166
_symmetry_space_group_name_Hall '-R 3 2"'
loop_
_atom_site_label
_atom_site_fract_x
_atom_site_fract_y
_atom_site_fract_z
Ba1 0.0000 0.0000 0.0000
In1 0.0000 0.0000 0.2344
Re1 0.0000 0.0000 0.5000
```